A plane-wave DFT calculation with PBE was carried out for crystalline CaNdDy2Hg4 at its relaxed geometry.

Properties
magnetic moment: 0.00 μB/cell
DOS at the Fermi energy: 0.818 states/eV/atom
raw total energy: -2.645 eV per atom
ΔH_f (0 K): -0.497 eV/atom

extended XYZ file:
```
8
Lattice="2.6555 1.5332 8.7190 -2.6555 1.5332 8.7190 0.0000 -3.0664 8.7190" Properties=species:S:1:pos:R:3 pbc="T T T"
Ca 0.0000 0.0000 0.0000
Nd 0.0000 0.0000 13.0786
Dy 0.0000 0.0000 6.6005
Dy 0.0000 0.0000 19.5567
Hg 0.0000 0.0000 3.2456
Hg 0.0000 0.0000 9.8069
Hg 0.0000 0.0000 16.3502
Hg 0.0000 0.0000 22.9115
```